1.
The following is a DFT calculation (meta-GGA SCAN) of a PBEsol-optimized structure of Nb3Pd.

Cell: 2.7782 2.7782 8.9838 Å, 90.00 90.00 104.31°
Last column: nearest neighbours and their distance in Å.
Positions (direct):
Nb  0.5000  0.5000  0.7602  4 Pd 2.75-3.07, 6 Nb 2.78-2.89
Nb  0.0000  0.0000  0.5000  8 Nb 2.78-2.89
Nb  0.5000  0.5000  0.2398  4 Pd 2.75-3.07, 6 Nb 2.78-2.89
Pd  0.0000  0.0000  0.0000  8 Nb 2.75-3.07, 4 Pd 2.78

Results
ΔE_f: -18 kJ per mole of atoms
density: 9.518 g/cm3
total moment: 0.000 μB/atom

=====

2.
The following is a DFT calculation (meta-GGA SCAN) of a PBEsol-optimized structure of InPb2Au.

Cell: 4.6115 4.6356 4.6356 Å, 90.00 90.00 90.00°
Last column: nearest neighbours and their distance in Å.
Positions (direct):
Au  0.5000  0.5000  0.5000  8 Pb 3.27, 4 In 3.28
In  0.5000  0.0000  0.0000  8 Pb 3.27, 4 Au 3.28
Pb  0.0000  0.0000  0.5000  4 In 3.27, 4 Au 3.27, 4 Pb 3.28
Pb  0.0000  0.5000  0.0000  4 Au 3.27, 4 In 3.27, 4 Pb 3.28

Results
ΔE_f: 6 kJ per mole of atoms
density: 12.168 g/cm3
total moment: 0.000 μB/atom

=====

3.
The following is a DFT calculation (meta-GGA SCAN) of a PBEsol-optimized structure of LiAl2Cd.

Cell: 3.4584 3.4584 5.8077 Å, 90.00 90.00 90.00°
Last column: nearest neighbours and their distance in Å.
Positions (direct):
Cd  0.0000  0.0000  0.5104  4 Li 2.82, 6 Al 2.85-2.95
Al  0.0000  0.0000  0.0018  4 Al 2.79, 4 Li 2.84, 2 Cd 2.85-2.95
Al  0.5000  0.5000  0.2343  2 Li 2.79-3.02, 4 Al 2.79, 4 Cd 2.92
Li  0.5000  0.5000  0.7536  6 Al 2.79-3.02, 4 Cd 2.82

Results
ΔE_f: -5 kJ per mole of atoms
density: 4.143 g/cm3
total moment: 0.000 μB/atom

=====

4.
The following is a DFT calculation (meta-GGA SCAN) of a PBEsol-optimized structure of MgMnCo.

Cell: 3.8903 3.8903 3.8903 Å, 60.00 60.00 60.00°
Last column: nearest neighbours and their distance in Å.
Positions (direct):
Co  0.2500  0.2500  0.2500  4 Mn 2.38, 4 Mg 2.38
Mg  0.0000  0.0000  0.0000  4 Co 2.38
Mn  0.5000  0.5000  0.5000  4 Co 2.38

Results
ΔE_f: 53 kJ per mole of atoms
distance to the lowest polymorph of the same formula: 263 meV per atom
density: 5.511 g/cm3
total moment: 1.364 μB/atom

=====

- Which value of density does entry 4 give?
  5.511 g/cm3